# Li2SbAs | the Alexandria database | meta-GGA SCAN | single point on PBEsol structure
data_Li2SbAs
_chemical_formula_sum 'Li4 Sb2 As2'
_space_group_name_H-M_alt 'C m m m'
_space_group_IT_number 65
_space_group_name_Hall '-C 2 2'
_cell_length_a 5.954
_cell_length_b 8.120
_cell_length_c 3.049
_cell_angle_alpha 90.00
_cell_angle_beta 90.00
_cell_angle_gamma 90.00
loop_
_atom_site_label
_atom_site_fract_x
_atom_site_fract_y
_atom_site_fract_z
Li1 0.250 0.250 0.000
Sb1 0.000 0.000 0.500
As1 0.000 0.500 0.500
# - DOS at the Fermi energy: 2.40 states/eV per cell
# - Uncorrected formation energy: -448 meV per atom
# - Magnetization: 0.000 μB/cell
# - ΔE to the lowest computed polymorph: 0.025 eV per atom